1.
An optimized crystal structure of YEr2Zn6. Source: Alexandria via LeMat-Bulk, functional PBE-GGA.

## Properties
* electronic total energy: -2.9690 eV/atom
* ΔH_f (0 K): -0.388 eV per atom
* magnetic moment: 0.0 μB/cell
* density: 7535 kg/m³

a b c (Å): 7.720 7.720 3.484
angles (deg): 90.00 90.00 120.00
Fractional positions:
1 Y 0.000 0.000 0.000
2 Er 0.333 0.667 0.000
3 Er 0.667 0.333 0.000
4 Zn 0.000 0.334 0.500
5 Zn 0.000 0.666 0.500
6 Zn 0.334 0.000 0.500
7 Zn 0.334 0.334 0.500
8 Zn 0.666 0.000 0.500
9 Zn 0.666 0.666 0.500

2.
An optimized crystal structure of Y4Er9Zn11. Source: Alexandria via LeMat-Bulk, functional PBE-GGA.

## Properties
* electronic total energy: -3.6205 eV/atom
* ΔH_f (0 K): -0.248 eV per atom
* magnetic moment: 0.0 μB/cell
* density: 7747 kg/m³

a b c (Å): 13.024 13.024 3.419
angles (deg): 90.00 90.00 107.48
Fractional positions:
1 Y 0.084 0.256 0.000
2 Y 0.256 0.084 0.000
3 Y 0.744 0.916 0.000
4 Y 0.916 0.744 0.000
5 Er 0.000 0.000 0.000
6 Er 0.122 0.649 0.000
7 Er 0.296 0.481 0.000
8 Er 0.351 0.878 0.000
9 Er 0.481 0.296 0.000
10 Er 0.519 0.704 0.000
11 Er 0.649 0.122 0.000
12 Er 0.704 0.519 0.000
13 Er 0.878 0.351 0.000
14 Zn 0.084 0.449 0.500
15 Zn 0.131 0.869 0.500
16 Zn 0.289 0.289 0.500
17 Zn 0.322 0.678 0.500
18 Zn 0.449 0.084 0.500
19 Zn 0.500 0.500 0.500
20 Zn 0.551 0.916 0.500
21 Zn 0.678 0.322 0.500
22 Zn 0.711 0.711 0.500
23 Zn 0.869 0.131 0.500
24 Zn 0.916 0.551 0.500

3.
An optimized crystal structure of Y3ErZn8. Source: Alexandria via LeMat-Bulk, functional PBE-GGA.

## Properties
* electronic total energy: -3.1853 eV/atom
* ΔH_f (0 K): -0.340 eV per atom
* magnetic moment: 0.0 μB/cell
* density: 6891 kg/m³

a b c (Å): 9.431 9.431 9.431
angles (deg): 33.75 33.75 33.75
Fractional positions:
1 Y 0.000 0.000 0.000
2 Y 0.125 0.125 0.125
3 Y 0.624 0.624 0.624
4 Er 0.500 0.500 0.500
5 Zn 0.062 0.062 0.562
6 Zn 0.062 0.562 0.062
7 Zn 0.063 0.562 0.562
8 Zn 0.312 0.312 0.312
9 Zn 0.562 0.062 0.062
10 Zn 0.562 0.063 0.562
11 Zn 0.562 0.562 0.063
12 Zn 0.812 0.812 0.812

4.
An optimized crystal structure of Y3Er2Zn2. Source: Alexandria via LeMat-Bulk, functional PBE-GGA.

## Properties
* relative energy among the computed polymorphs: 0 meV/atom
* electronic total energy: -4.6043 eV/atom
* ΔH_f (0 K): -0.166 eV per atom
* magnetic moment: 0.0 μB/cell
* density: 6353 kg/m³

a b c (Å): 6.718 6.718 8.987
angles (deg): 114.72 114.72 31.59
Fractional positions:
1 Y 0.000 0.000 0.000
2 Y 0.110 0.110 0.441
3 Y 0.890 0.890 0.559
4 Er 0.351 0.351 0.187
5 Er 0.649 0.649 0.813
6 Zn 0.319 0.319 0.776
7 Zn 0.681 0.681 0.224

Copy entry 2 word for word.
An optimized crystal structure of Y4Er9Zn11. Source: Alexandria via LeMat-Bulk, functional PBE-GGA.

## Properties
* electronic total energy: -3.6205 eV/atom
* ΔH_f (0 K): -0.248 eV per atom
* magnetic moment: 0.0 μB/cell
* density: 7747 kg/m³

a b c (Å): 13.024 13.024 3.419
angles (deg): 90.00 90.00 107.48
Fractional positions:
1 Y 0.084 0.256 0.000
2 Y 0.256 0.084 0.000
3 Y 0.744 0.916 0.000
4 Y 0.916 0.744 0.000
5 Er 0.000 0.000 0.000
6 Er 0.122 0.649 0.000
7 Er 0.296 0.481 0.000
8 Er 0.351 0.878 0.000
9 Er 0.481 0.296 0.000
10 Er 0.519 0.704 0.000
11 Er 0.649 0.122 0.000
12 Er 0.704 0.519 0.000
13 Er 0.878 0.351 0.000
14 Zn 0.084 0.449 0.500
15 Zn 0.131 0.869 0.500
16 Zn 0.289 0.289 0.500
17 Zn 0.322 0.678 0.500
18 Zn 0.449 0.084 0.500
19 Zn 0.500 0.500 0.500
20 Zn 0.551 0.916 0.500
21 Zn 0.678 0.322 0.500
22 Zn 0.711 0.711 0.500
23 Zn 0.869 0.131 0.500
24 Zn 0.916 0.551 0.500

Repeat the fourth record exactly.
An optimized crystal structure of Y3Er2Zn2. Source: Alexandria via LeMat-Bulk, functional PBE-GGA.

## Properties
* relative energy among the computed polymorphs: 0 meV/atom
* electronic total energy: -4.6043 eV/atom
* ΔH_f (0 K): -0.166 eV per atom
* magnetic moment: 0.0 μB/cell
* density: 6353 kg/m³

a b c (Å): 6.718 6.718 8.987
angles (deg): 114.72 114.72 31.59
Fractional positions:
1 Y 0.000 0.000 0.000
2 Y 0.110 0.110 0.441
3 Y 0.890 0.890 0.559
4 Er 0.351 0.351 0.187
5 Er 0.649 0.649 0.813
6 Zn 0.319 0.319 0.776
7 Zn 0.681 0.681 0.224